Computed, not measured: a relaxed V2NiW crystal at the PBE-GGA level of DFT.

Properties
Symmetry: No. 123
DFT total energy in eV/atom: -9.2791
Volume in Å³/cell: 54.4
Magnetization in Bohr magnetons per cell: 0.01

Cell lengths 3.075, 3.075, 5.753 Å; angles 90.00, 90.00, 90.00 degrees
Positions (direct):
V  0.000  0.000  0.245
V  0.000  0.000  0.755
Ni  0.500  0.500  0.000
W  0.500  0.500  0.500



Computed, not measured: a relaxed VNi4W crystal at the PBE-GGA level of DFT.

Properties
Symmetry: No. 12
Volume in Å³/cell: 144.4
E above lowest polymorph in meV/atom: 0
Magnetization in Bohr magnetons per cell: 0.00

Cell lengths 4.083, 7.076, 4.997 Å; angles 90.00, 90.13, 90.00 degrees
Positions (direct):
V  0.000  0.000  0.000
V  0.500  0.500  0.000
Ni  0.000  0.333  0.246
Ni  0.000  0.333  0.754
Ni  0.000  0.667  0.246
Ni  0.000  0.667  0.754
Ni  0.500  0.167  0.246
Ni  0.500  0.167  0.754
Ni  0.500  0.833  0.246
Ni  0.500  0.833  0.754
W  0.000  0.000  0.500
W  0.500  0.500  0.500



Computed, not measured: a relaxed VNiW3 crystal at the PBE-GGA level of DFT.

Properties
Symmetry: No. 221
Volume in Å³/cell: 89.5
E above lowest polymorph in meV/atom: 193
Magnetization in Bohr magnetons per cell: 0.00

Cell lengths 4.473, 4.473, 4.473 Å; angles 90.00, 90.00, 90.00 degrees
Positions (direct):
V  0.000  0.000  0.000
Ni  0.500  0.500  0.500
W  0.000  0.000  0.500
W  0.000  0.500  0.000
W  0.500  0.000  0.000



Q: magnetization of number 1 (V2NiW)?
A: 0.01 Bohr magnetons per cell